Material: Nd3Cd2Pd6
Method: DFT, PBE
State: optimized geometry

DOS(E_F) = 6.29 states/eV/f.u.
Formation enthalpy at 0 K = -0.68 eV per atom
Raw total energy = -4.9824 eV/atom
V = 21.621 Å³ per atom

Cell: 9.8350 9.8350 9.8350 Å, 90.00 90.00 90.00°
Closest atoms and distances in Å follow each position.
Space group Im-3m (No. 229)
One atom of each set of equivalent atoms:
Nd  0.0000  0.0000  0.3001 (multiplicity 12)  4 Pd 2.94
Cd  0.2500  0.2500  0.2500 (multiplicity 8)  6 Pd 2.78
Pd  0.0000  0.3432  0.3432 (multiplicity 24)  2 Cd 2.78, 6 Pd 2.85-3.08, 2 Nd 2.94